Density functional theory data (PBE) for crystalline Lu2TlPt at its relaxed geometry.

a = 3.901 Å, b = 3.901 Å, c = 8.337 Å
α = 76.47°, β = 76.47°, γ = 60.00°
Fractional positions:
Tl  0.500  0.500  0.500
Lu  0.733  0.733  0.802
Pt  0.000  0.000  0.000
Lu  0.267  0.267  0.198

Output
The calculation puts the density of states at the Fermi level at 0.793 states/eV per atom. The calculated density is 11.77 g/cm3. The calculation puts the formation energy at -2.93 eV/f.u. The calculation puts the energy above the most stable polymorph in this dataset at 8.3 kJ per mole of atoms. As for the total energy: -20.4 eV for the cell shown.


Density functional theory data (PBE) for crystalline MnNb2Te6 at its relaxed geometry.

a = 3.619 Å, b = 7.711 Å, c = 9.543 Å
α = 107.40°, β = 90.00°, γ = 103.57°
Site moments in Bohr magnetons follow the coordinates.
Fractional positions:
Mn  0.000  0.000  0.500  3.06
Nb  0.311  0.621  0.129  0.06
Te  0.674  0.349  0.156  -0.01
Te  0.363  0.725  0.451  -0.08
Te  0.965  0.931  0.205  -0.07
Te  0.326  0.651  0.844  -0.01
Nb  0.689  0.379  0.871  0.06
Te  0.637  0.275  0.549  -0.08
Te  0.035  0.069  0.795  -0.07

Output
The calculation puts the density of states at the Fermi level at 0.453 states/eV per atom. Its uncorrected formation energy is -35.4 kJ/mol of atoms. The calculated density is 6.78 g/cm3. The calculation puts the energy above the most stable polymorph in this dataset at 0.0 kJ per mole of atoms. As for the total energy: -51.5 eV for the cell shown.


Density functional theory data (PBE) for crystalline LiCd2Hg8 at its relaxed geometry.

a = 4.458 Å, b = 4.458 Å, c = 13.743 Å
α = 90.00°, β = 90.00°, γ = 90.00°
Fractional positions:
Hg  0.000  0.500  0.870
Hg  0.000  0.500  0.130
Cd  0.000  0.000  0.320
Cd  0.000  0.000  0.680
Hg  0.500  0.500  0.685
Hg  0.500  0.000  0.870
Hg  0.500  0.500  0.315
Hg  0.000  0.500  0.500
Li  0.000  0.000  0.000
Hg  0.500  0.000  0.500
Hg  0.500  0.000  0.130

Output
The calculation puts the density of states at the Fermi level at 0.247 states/eV per atom. The calculated density is 11.16 g/cm3. The calculation puts the formation energy at -0.58 eV/f.u. As for the total energy: -6.7 eV for the cell shown.